! Ni2AgMo2, relaxed, DFT PBE; values from VASP
&SYSTEM
  ibrav = 0, nat = 10, ntyp = 3
/
ATOMIC_SPECIES
Ni 58.69 Ni.upf
Mo 95.94 Mo.upf
Ag 107.87 Ag.upf
ATOMIC_POSITIONS crystal
Ni 0.170 0.670 0.500
Ni 0.670 0.830 0.500
Ni 0.830 0.330 0.500
Ni 0.330 0.170 0.500
Mo 0.377 0.877 0.000
Mo 0.877 0.623 0.000
Mo 0.623 0.123 0.000
Mo 0.123 0.377 0.000
Ag 0.000 0.000 0.000
Ag 0.500 0.500 0.000
CELL_PARAMETERS angstrom
-5.398 5.228 -0.100
-1.107 -1.283 -7.322
-1.787 -1.833 0.591
! Crystal system: tetragonal
! E above lowest polymorph, eV/f.u.: 0.349
! Space-group type: P4/mbm (127)
! Formation energy from the elements, eV per atom: 0.293
! Electronic total energy, eV/atom: -6.9223


! NiAg2Mo, relaxed, DFT PBE; values from VASP
&SYSTEM
  ibrav = 0, nat = 4, ntyp = 3
/
ATOMIC_SPECIES
Ag 107.87 Ag.upf
Mo 95.94 Mo.upf
Ni 58.69 Ni.upf
ATOMIC_POSITIONS crystal
Ag 0.000 0.000 0.000
Ag 0.500 0.500 0.000
Mo 0.500 0.000 0.500
Ni 0.000 0.500 0.500
CELL_PARAMETERS angstrom
-0.732 3.650 -3.110
-4.461 0.635 1.796
0.989 1.761 1.834
! Crystal system: tetragonal
! E above lowest polymorph, eV/f.u.: 2.003
! Space-group type: P4/mmm (123)
! Formation energy from the elements, eV per atom: 0.702
! Electronic total energy, eV/atom: -4.8767


! NiAg2Mo, relaxed, DFT PBE; values from VASP
&SYSTEM
  ibrav = 0, nat = 4, ntyp = 3
/
ATOMIC_SPECIES
Ag 107.87 Ag.upf
Mo 95.94 Mo.upf
Ni 58.69 Ni.upf
ATOMIC_POSITIONS crystal
Ag 0.000 0.000 0.000
Ag 0.000 0.500 0.500
Mo 0.500 0.500 0.000
Ni 0.500 0.000 0.500
CELL_PARAMETERS angstrom
-2.155 3.225 1.996
-2.183 -2.588 1.824
2.533 -0.098 2.892
! Crystal system: tetragonal
! E above lowest polymorph, eV/f.u.: 1.828
! Space-group type: P4/mmm (123)
! Formation energy from the elements, eV per atom: 0.658
! Electronic total energy, eV/atom: -4.9203


! NiAg2Mo, relaxed, DFT PBE; values from VASP
&SYSTEM
  ibrav = 0, nat = 4, ntyp = 3
/
ATOMIC_SPECIES
Ag 107.87 Ag.upf
Mo 95.94 Mo.upf
Ni 58.69 Ni.upf
ATOMIC_POSITIONS crystal
Ag 0.993 0.993 0.994
Ag 0.750 0.750 0.752
Mo 0.508 0.508 0.466
Ni 0.249 0.249 0.288
CELL_PARAMETERS angstrom
-0.917 4.090 -2.197
-3.060 3.554 -0.632
1.824 3.230 3.604
! Crystal system: monoclinic
! E above lowest polymorph, eV/f.u.: 0.891
! Space-group type: Cm (8)
! Formation energy from the elements, eV per atom: 0.424
! Electronic total energy, eV/atom: -5.1545


! NiAg2Mo, relaxed, DFT PBE; values from VASP
&SYSTEM
  ibrav = 0, nat = 4, ntyp = 3
/
ATOMIC_SPECIES
Ag 107.87 Ag.upf
Mo 95.94 Mo.upf
Ni 58.69 Ni.upf
ATOMIC_POSITIONS crystal
Ag 0.000 0.000 0.000
Ag 0.500 0.500 0.000
Mo 0.500 0.000 0.500
Ni 0.000 0.500 0.500
CELL_PARAMETERS angstrom
2.741 0.000 0.000
0.000 4.671 0.000
0.000 0.000 4.946
! Crystal system: orthorhombic
! E above lowest polymorph, eV/f.u.: 1.228
! Space-group type: Pmmm (47)
! Formation energy from the elements, eV per atom: 0.508
! Electronic total energy, eV/atom: -5.0704


! NiAg2Mo, relaxed, DFT PBE; values from VASP
&SYSTEM
  ibrav = 0, nat = 4, ntyp = 3
/
ATOMIC_SPECIES
Ag 107.87 Ag.upf
Mo 95.94 Mo.upf
Ni 58.69 Ni.upf
ATOMIC_POSITIONS crystal
Ag 0.000 0.023 0.977
Ag 0.500 0.246 0.255
Mo 0.000 0.468 0.532
Ni 0.500 0.763 0.736
CELL_PARAMETERS angstrom
-0.585 0.091 -2.707
-1.912 -1.956 0.348
-7.526 3.764 1.752
! Crystal system: monoclinic
! E above lowest polymorph, eV/f.u.: 0.000
! Space-group type: Pm (6)
! Formation energy from the elements, eV per atom: 0.201
! Electronic total energy, eV/atom: -5.3774


! NiAg2Mo, relaxed, DFT PBE; values from VASP
&SYSTEM
  ibrav = 0, nat = 4, ntyp = 3
/
ATOMIC_SPECIES
Ag 107.87 Ag.upf
Mo 95.94 Mo.upf
Ni 58.69 Ni.upf
ATOMIC_POSITIONS crystal
Ag 0.000 0.000 0.981
Ag 0.000 0.000 0.519
Mo 0.500 0.500 0.250
Ni 0.500 0.500 0.750
CELL_PARAMETERS angstrom
2.713 0.000 0.000
0.000 2.713 0.000
0.000 0.000 8.381
! Crystal system: tetragonal
! E above lowest polymorph, eV/f.u.: 0.877
! Space-group type: P4/mmm (123)
! Formation energy from the elements, eV per atom: 0.421
! Electronic total energy, eV/atom: -5.1580


! NiAgMo4, relaxed, DFT PBE; values from VASP
&SYSTEM
  ibrav = 0, nat = 6, ntyp = 3
/
ATOMIC_SPECIES
Ni 58.69 Ni.upf
Ag 107.87 Ag.upf
Mo 95.94 Mo.upf
ATOMIC_POSITIONS crystal
Ni 0.750 0.750 0.750
Ag 0.000 0.000 0.000
Mo 0.875 0.375 0.375
Mo 0.375 0.375 0.875
Mo 0.375 0.875 0.375
Mo 0.375 0.375 0.375
CELL_PARAMETERS angstrom
0.295 -3.966 3.334
-3.543 -0.499 3.759
-3.489 -3.836 -0.215
! Crystal system: cubic
! Space-group type: F-43m (216)
! Formation energy from the elements, eV per atom: 0.570
! Electronic total energy, eV/atom: -8.0890


! NiAgMo, relaxed, DFT PBE; values from VASP
&SYSTEM
  ibrav = 0, nat = 3, ntyp = 3
/
ATOMIC_SPECIES
Ag 107.87 Ag.upf
Mo 95.94 Mo.upf
Ni 58.69 Ni.upf
ATOMIC_POSITIONS crystal
Ag 0.000 0.000 0.000
Mo 0.500 0.500 0.500
Ni 0.750 0.750 0.750
CELL_PARAMETERS angstrom
-0.859 -1.652 3.674
0.280 -4.073 0.543
3.027 -1.566 2.312
! Crystal system: cubic
! E above lowest polymorph, eV/f.u.: 1.450
! Space-group type: F-43m (216)
! Formation energy from the elements, eV per atom: 0.709
! Electronic total energy, eV/atom: -5.7790


! NiAg2Mo, relaxed, DFT PBE; values from VASP
&SYSTEM
  ibrav = 0, nat = 4, ntyp = 3
/
ATOMIC_SPECIES
Ag 107.87 Ag.upf
Mo 95.94 Mo.upf
Ni 58.69 Ni.upf
ATOMIC_POSITIONS crystal
Ag 0.023 0.023 0.000
Ag 0.747 0.247 0.500
Mo 0.471 0.471 0.000
Ni 0.260 0.760 0.500
CELL_PARAMETERS angstrom
5.553 -0.004 0.002
2.784 4.805 -0.002
-3.461 -3.629 2.385
! Crystal system: orthorhombic
! E above lowest polymorph, eV/f.u.: 1.152
! Space-group type: Imm2 (44)
! Formation energy from the elements, eV per atom: 0.489
! Electronic total energy, eV/atom: -5.0893


! NiAg2Mo, relaxed, DFT PBE; values from VASP
&SYSTEM
  ibrav = 0, nat = 4, ntyp = 3
/
ATOMIC_SPECIES
Ag 107.87 Ag.upf
Mo 95.94 Mo.upf
Ni 58.69 Ni.upf
ATOMIC_POSITIONS crystal
Ag 0.005 0.005 0.005
Ag 0.495 0.495 0.495
Mo 0.250 0.250 0.250
Ni 0.750 0.750 0.750
CELL_PARAMETERS angstrom
9.424 -0.016 -0.009
9.017 2.739 -0.009
9.017 1.332 2.394
! Crystal system: trigonal
! E above lowest polymorph, eV/f.u.: 0.967
! Space-group type: R-3m (166)
! Formation energy from the elements, eV per atom: 0.443
! Electronic total energy, eV/atom: -5.1356


! NiAg2Mo, relaxed, DFT PBE; values from VASP
&SYSTEM
  ibrav = 0, nat = 4, ntyp = 3
/
ATOMIC_SPECIES
Ni 58.69 Ni.upf
Mo 95.94 Mo.upf
Ag 107.87 Ag.upf
ATOMIC_POSITIONS crystal
Ni 0.000 0.000 0.000
Mo 0.500 0.500 0.500
Ag 0.250 0.250 0.250
Ag 0.750 0.750 0.750
CELL_PARAMETERS angstrom
0.000 3.149 3.149
3.149 0.000 3.149
3.149 3.149 0.000
! Crystal system: cubic
! E above lowest polymorph, eV/f.u.: 1.991
! Space-group type: Fm-3m (225)
! Formation energy from the elements, eV per atom: 0.699
! Electronic total energy, eV/atom: -4.8797


! NiAg2Mo, relaxed, DFT PBE; values from VASP
&SYSTEM
  ibrav = 0, nat = 4, ntyp = 3
/
ATOMIC_SPECIES
Ag 107.87 Ag.upf
Mo 95.94 Mo.upf
Ni 58.69 Ni.upf
ATOMIC_POSITIONS crystal
Ag 0.000 0.922 0.990
Ag 0.000 0.578 0.510
Mo 0.500 0.250 0.250
Ni 0.500 0.750 0.750
CELL_PARAMETERS angstrom
-1.108 2.765 3.505
-1.568 -1.915 1.015
3.290 -2.541 3.045
! Crystal system: monoclinic
! E above lowest polymorph, eV/f.u.: 1.094
! Space-group type: P2/m (10)
! Formation energy from the elements, eV per atom: 0.475
! Electronic total energy, eV/atom: -5.1038